1.
Compound: Cu5Ag3
Source: OQMD via LeMat-Bulk
Functional: PBE
Structure: relaxed

Summary:
Relative energy among the computed polymorphs: 47.4 meV per atom
E: -26.30 eV per cell
Space-group type: P-4m2 (115)

Cell: 3.8306 3.8306 7.7127 Å, 90.00 90.00 90.00°
Sites, in units of the cell vectors:
Ag 0.5000 0.0000 0.2610
Ag 0.5000 0.5000 0.0000
Ag 0.0000 0.5000 0.7390
Cu 0.5000 0.5000 0.5000
Cu 0.0000 0.0000 0.0000
Cu 0.0000 0.0000 0.5000
Cu 0.5000 0.0000 0.7359
Cu 0.0000 0.5000 0.2641



2.
Compound: Cu3Ag2
Source: OQMD via LeMat-Bulk
Functional: PBE
Structure: relaxed

Summary:
Relative energy among the computed polymorphs: 54.1 meV per atom
E: -32.64 eV per cell
Space-group type: Cmmm (65)

Cell: 9.8483 9.8483 3.8641 Å, 90.00 90.00 157.60°
Sites, in units of the cell vectors:
Ag 0.3023 0.6977 0.5000
Ag 0.4053 0.5947 0.0000
Ag 0.6977 0.3023 0.5000
Ag 0.5947 0.4053 0.0000
Cu 0.1987 0.8013 0.0000
Cu 0.8013 0.1987 0.0000
Cu 0.0929 0.9071 0.5000
Cu 0.5000 0.5000 0.5000
Cu 0.9071 0.0929 0.5000
Cu 0.0000 0.0000 0.0000



3.
Compound: Cu3Ag2
Source: OQMD via LeMat-Bulk
Functional: PBE
Structure: relaxed

Summary:
Relative energy among the computed polymorphs: 4.5 meV per atom
E: -33.13 eV per cell
Space-group type: P4/nmm (129)

Cell: 2.7670 2.7670 18.5152 Å, 90.00 90.00 90.00°
Sites, in units of the cell vectors:
Ag 0.5000 0.0000 0.9396
Ag 0.0000 0.5000 0.8190
Ag 0.0000 0.5000 0.0604
Ag 0.5000 0.0000 0.1810
Cu 0.5000 0.0000 0.7149
Cu 0.5000 0.0000 0.3706
Cu 0.5000 0.0000 0.5435
Cu 0.0000 0.5000 0.6294
Cu 0.0000 0.5000 0.4565
Cu 0.0000 0.5000 0.2851



no.,DFT formation energy (eV/atom)
1,0.094
2,0.096
3,0.046